Material: CoGeBi
Method: DFT, PBE
State: relaxed

## Properties
- Energy of formation from the pure elements: 0.2 eV/f.u.
- SG: Cm (8)

Cell: 6.4218 6.4218 5.0552 Å, 102.40 102.40 35.12°
Positions (direct):
Co  0.0000  0.0000  0.0000
Co  0.1929  0.1929  0.3426
Ge  0.1428  0.1428  0.7677
Ge  0.5678  0.5678  0.2751
Bi  0.4145  0.4145  0.6471
Bi  0.7990  0.7990  0.1019

Material: CoGeBi
Method: DFT, PBE
State: relaxed

## Properties
- Energy of formation from the pure elements: 0.1 eV/f.u.
- SG: C2/m (12)

Cell: 6.3895 6.3895 5.5327 Å, 102.12 102.12 35.51°
Positions (direct):
Co  0.0848  0.0848  0.3939
Co  0.9152  0.9152  0.6061
Ge  0.0000  0.0000  0.0000
Ge  0.5000  0.5000  0.5000
Bi  0.2800  0.2800  0.7518
Bi  0.7200  0.7200  0.2482

Material: CoGeBi
Method: DFT, PBE
State: relaxed

## Properties
- Energy of formation from the pure elements: 0.0 eV/f.u.
- SG: Pmma (51)

Cell: 3.6076 3.1543 10.5845 Å, 90.00 90.00 90.00°
Positions (direct):
Co  0.2500  0.0000  0.0914
Co  0.7500  0.0000  0.9086
Ge  0.2500  0.5000  0.8959
Ge  0.7500  0.5000  0.1041
Bi  0.2500  0.0000  0.3491
Bi  0.7500  0.0000  0.6509

Material: CoGeBi
Method: DFT, PBE
State: relaxed

## Properties
- Energy of formation from the pure elements: 0.7 eV/f.u.
- SG: Amm2 (38)

Cell: 11.7144 3.4382 3.4382 Å, 60.05 90.00 90.00°
Positions (direct):
Co  0.0000  0.0000  0.0000
Co  0.5000  0.0027  0.0027
Ge  0.1185  0.3335  0.3335
Ge  0.8815  0.3335  0.3335
Bi  0.3464  0.6693  0.6693
Bi  0.6536  0.6693  0.6693

Material: CoGeBi
Method: DFT, PBE
State: relaxed

## Properties
- Energy of formation from the pure elements: 0.1 eV/f.u.
- SG: P-1 (2)

Cell: 4.0286 4.7140 6.7545 Å, 73.89 88.69 89.91°
Positions (direct):
Co  0.2491  0.3187  0.0677
Co  0.7509  0.6813  0.9323
Ge  0.2454  0.8115  0.0924
Ge  0.7546  0.1885  0.9076
Bi  0.2616  0.6902  0.6526
Bi  0.7383  0.3098  0.3474

Material: La2CoGeBi
Method: DFT, PBE
State: relaxed

## Properties
- Energy of formation from the pure elements: -3.2 eV/f.u.
- SG: P4/mmm (123)

Cell: 5.4530 5.4530 4.5087 Å, 90.00 90.00 90.00°
Positions (direct):
La  0.0000  0.5000  0.0000
La  0.5000  0.0000  0.0000
Co  0.0000  0.0000  0.0000
Ge  0.0000  0.0000  0.5000
Bi  0.5000  0.5000  0.5000

Material: LaCoGe2Bi
Method: DFT, PBE
State: relaxed

## Properties
- Energy of formation from the pure elements: -1.8 eV/f.u.
- SG: P4/mmm (123)

Cell: 4.7160 4.7160 5.1317 Å, 90.00 90.00 90.00°
Positions (direct):
La  0.0000  0.0000  0.0000
Co  0.0000  0.0000  0.5000
Ge  0.0000  0.5000  0.5000
Ge  0.5000  0.0000  0.5000
Bi  0.5000  0.5000  0.0000

Material: Nb2CoGeBi
Method: DFT, PBE
State: relaxed

## Properties
- Energy of formation from the pure elements: 7.1 eV/f.u.
- SG: P4/mmm (123)

Cell: 4.8152 4.8152 5.3434 Å, 90.00 90.00 90.00°
Positions (direct):
Nb  0.0000  0.5000  0.0000
Nb  0.5000  0.0000  0.0000
Co  0.0000  0.0000  0.5000
Ge  0.5000  0.5000  0.0000
Bi  0.5000  0.5000  0.5000

Number 1: D(E_F) 4.39 states/eV per cell. Number 2: D(E_F) 4.06 states/eV per cell. Number 3: D(E_F) 2.51 states/eV per cell. Number 4: D(E_F) 4.99 states/eV per cell. Number 5: D(E_F) 4.34 states/eV per cell. Number 6: D(E_F) 3.68 states/eV per cell. Number 7: D(E_F) 2.78 states/eV per cell. Number 8: D(E_F) 7.51 states/eV per cell.